## A
# TaSb2IBr

Crystalline TaSb2IBr at its relaxed geometry (PBEsol, the Alexandria database).

It has space group P4/mmm (No. 123), with a = 5.321 Å, b = 5.321 Å, c = 5.443 Å, α = 90.00°, β = 90.00° and γ = 90.00°. The asymmetric unit holds Ta at (0.000, 0.000, 0.000), Sb at (0.000, 0.500, 0.500), I at (0.500, 0.500, 0.000) and Br at (0.500, 0.500, 0.500).

As for the density of states at the Fermi level: 5.11 states/eV/f.u.

## B
# TaSb2IBr

Crystalline TaSb2IBr at its relaxed geometry (PBEsol, the Alexandria database).

It has space group P4/mmm (No. 123), with a = 5.326 Å, b = 5.326 Å, c = 5.334 Å, α = 90.00°, β = 90.00° and γ = 90.00°. The asymmetric unit holds Ta at (0.000, 0.000, 0.000), Sb at (0.000, 0.500, 0.000), I at (0.000, 0.000, 0.500) and Br at (0.500, 0.500, 0.500).

As for the density of states at the Fermi level: 4.01 states/eV/f.u.

Quick one: most stable of them? B

## A
# SbTeI2Br

Crystalline SbTeI2Br at its relaxed geometry (PBEsol, the Alexandria database).

It has space group P4/mmm (No. 123), with a = 5.797 Å, b = 5.797 Å, c = 5.915 Å, α = 90.00°, β = 90.00° and γ = 90.00°. The asymmetric unit holds Sb at (0.000, 0.000, 0.000), Te at (0.000, 0.000, 0.500), I at (0.000, 0.500, 0.500) and Br at (0.500, 0.500, 0.000).

As for the density of states at the Fermi level: 3.87 states/eV/f.u.

## B
# SbTeI2Br

Crystalline SbTeI2Br at its relaxed geometry (PBEsol, the Alexandria database).

It has space group P4/mmm (No. 123), with a = 5.671 Å, b = 5.671 Å, c = 5.551 Å, α = 90.00°, β = 90.00° and γ = 90.00°. The asymmetric unit holds Sb at (0.000, 0.000, 0.000), Te at (0.500, 0.500, 0.000), I at (0.000, 0.500, 0.500) and Br at (0.500, 0.500, 0.500).

As for the density of states at the Fermi level: 5.80 states/eV/f.u.

Quick one: most stable of them? A